[1]
Below is a relaxed structure of LaCeTeSe, with properties calculated at the GGA-PBE level.

Structure (extended XYZ):
```
4
Lattice="2.185 1.261 7.295 -2.185 1.261 7.295 0.000 -2.523 7.295" Properties=species:S:1:pos:R:3 pbc="T T T"
La 0.000 0.000 0.000
Ce 0.000 0.000 10.582
Te 0.000 0.000 5.246
Se 0.000 0.000 16.275
```

Properties
Crystal system: trigonal
Final energy (eV per atom): -6.06
Symmetry: No. 160

[2]
Below is a relaxed structure of Li3Pu2PaTe6, with properties calculated at the GGA-PBE level.

Structure (extended XYZ):
```
12
Lattice="3.795 -6.575 0.000 3.795 6.575 0.000 -2.530 0.000 7.046" Properties=species:S:1:pos:R:3 pbc="T T T"
Li 0.000 0.000 0.000
Li 3.795 2.183 0.000
Li 3.795 -2.183 0.000
Pu 2.530 4.379 3.523
Pu 2.530 -4.379 3.523
Pa 2.530 0.000 3.523
Te 1.292 2.145 1.692
Te 0.051 0.000 5.339
Te 1.292 -2.145 1.692
Te 3.768 2.145 5.355
Te 5.009 0.000 1.707
Te 3.768 -2.145 5.355
```

Properties
Crystal system: monoclinic
Final energy (eV per atom): -6.22
Symmetry: No. 12

[3]
Below is a relaxed structure of ScTaAs, with properties calculated at the GGA-PBE level.

Structure (extended XYZ):
```
3
Lattice="4.467 0.000 0.000 -2.233 3.868 0.000 0.000 0.000 3.389" Properties=species:S:1:pos:R:3 pbc="T T T"
Sc 0.000 0.000 0.000
Ta 2.233 1.289 1.695
As 0.000 2.579 1.695
```

Properties
Crystal system: hexagonal
Formation energy (meV per atom): -148
Final energy (eV per atom): -7.76
Symmetry: No. 187

[4]
Below is a relaxed structure of PmHo3Se6, with properties calculated at the GGA-PBE level.

Structure (extended XYZ):
```
20
Lattice="11.576 0.000 0.000 0.000 4.120 0.000 -3.887 0.000 11.212" Properties=species:S:1:pos:R:3 pbc="T T T"
Pm -0.221 1.030 2.183
Pm 7.910 3.090 9.028
Ho -0.432 1.030 6.559
Ho -0.196 3.090 11.204
Ho 3.760 1.030 3.736
Ho 3.929 3.090 7.476
Ho 7.885 1.030 0.008
Ho 8.121 3.090 4.653
Se -0.607 3.090 4.533
Se -2.414 1.030 10.823
Se -0.650 3.090 8.411
Se 2.123 3.090 2.529
Se 2.386 1.030 6.281
Se 5.114 1.030 1.283
Se 2.575 3.090 9.929
Se 5.303 3.090 4.931
Se 5.565 1.030 8.683
Se 8.339 1.030 2.801
Se 10.103 3.090 0.389
Se 8.296 1.030 6.679
```

Properties
Crystal system: monoclinic
Final energy (eV per atom): -5.82
Symmetry: No. 11

[5]
Below is a relaxed structure of Ho10Er4Tm, with properties calculated at the GGA-PBE level.

Structure (extended XYZ):
```
15
Lattice="-6.003 6.003 3.794 6.003 -6.003 3.794 6.003 6.003 -3.794" Properties=species:S:1:pos:R:3 pbc="T T T"
Ho 7.197 3.599 -1.895
Ho 3.599 4.809 -1.895
Ho 6.003 0.000 1.897
Ho 2.404 1.194 1.900
Ho -1.194 2.404 1.900
Ho 7.197 3.599 1.895
Ho 3.599 4.809 1.895
Ho 0.000 6.003 1.897
Ho 2.404 1.194 5.689
Ho -1.194 2.404 5.689
Er 8.411 1.207 0.000
Er 1.207 3.595 0.000
Er 4.796 2.408 3.794
Er -2.408 4.796 3.794
Tm 0.000 0.000 3.794
```

Properties
Crystal system: tetragonal
Formation energy (meV per atom): 722
Final energy (eV per atom): -3.84
Symmetry: No. 87

[6]
Below is a relaxed structure of BaTcI2N, with properties calculated at the GGA-PBE level.

Structure (extended XYZ):
```
5
Lattice="5.813 0.000 0.000 0.000 5.813 0.000 0.000 0.000 3.895" Properties=species:S:1:pos:R:3 pbc="T T T"
Ba 0.000 0.000 0.000
Tc 2.907 2.907 1.948
I 0.000 2.907 1.948
I 2.907 0.000 1.948
N 2.907 2.907 0.000
```

Properties
Crystal system: tetragonal
Final energy (eV per atom): -5.10
Symmetry: No. 123

[7]
Below is a relaxed structure of TbZrAlCd, with properties calculated at the GGA-PBE level.

Structure (extended XYZ):
```
4
Lattice="0.000 3.565 3.565 3.565 0.000 3.565 3.565 3.565 0.000" Properties=species:S:1:pos:R:3 pbc="T T T"
Tb 0.000 0.000 0.000
Zr 3.565 3.565 3.565
Al 1.782 1.782 1.782
Cd 5.347 5.347 5.347
```

Properties
Crystal system: cubic
Formation energy (meV per atom): -241
Final energy (eV per atom): -4.70
Symmetry: No. 216

[8]
Below is a relaxed structure of BeAg2Ir, with properties calculated at the GGA-PBE level.

Structure (extended XYZ):
```
4
Lattice="-1.881 1.881 4.229 1.881 -1.881 4.229 1.881 1.881 -4.229" Properties=species:S:1:pos:R:3 pbc="T T T"
Be 0.000 0.000 0.000
Ag 1.881 0.000 2.115
Ag 0.000 1.881 2.115
Ir 0.000 0.000 4.229
```

Properties
Crystal system: tetragonal
Formation energy (meV per atom): 385
Final energy (eV per atom): -4.19
Symmetry: No. 139